No. 1
The following is a DFT calculation (GGA-PBE) of La3SmTlRh after structural relaxation.

abc: 16.856 7.529 6.151
angles: 90.00 111.34 90.00
Space group C2/m (No. 12)
Symmetry-distinct sites (fractional):
La1 0.120 0.246 0.119
La2 0.186 0.500 0.685
Sm1 0.000 0.205 0.500
Tl1 0.193 0.000 0.693
Rh1 0.000 0.500 0.235

Final energy (eV per atom): -5.271
Volume (A^3/atom): 30.29
Formation energy from the elements (eV/f.u.): -2.406
N(E_F) (states/eV per cell): 24.4
Total moment (μB/cell): 0.0

---

No. 2
The following is a DFT calculation (GGA-PBE) of LaSmZnRh after structural relaxation.

abc: 4.369 4.055 11.154
angles: 90.00 90.00 90.00
Space group Amm2 (No. 38)
Symmetry-distinct sites (fractional):
La1 0.000 0.000 0.000
Sm1 0.500 0.000 0.726
Zn1 0.000 0.000 0.291
Rh1 0.500 0.000 0.438

Final energy (eV per atom): -5.110
Volume (A^3/atom): 24.70
Formation energy from the elements (eV/f.u.): -2.168
N(E_F) (states/eV per cell): 6.2
Total moment (μB/cell): 0.0

---

No. 3
The following is a DFT calculation (GGA-PBE) of LaSmZnRh after structural relaxation.

abc: 7.241 7.241 7.241
angles: 90.00 90.00 90.00
Space group F-43m (No. 216)
Symmetry-distinct sites (fractional):
La1 0.000 0.000 0.000
Sm1 0.000 0.000 0.500
Zn1 0.250 0.250 0.750
Rh1 0.250 0.250 0.250

Final energy (eV per atom): -5.059
Volume (A^3/atom): 23.73
Formation energy from the elements (eV/f.u.): -1.964
N(E_F) (states/eV per cell): 8.3
Total moment (μB/cell): 0.0